Entry 1:
# PBE VAs2Pd2, relaxed
# Formation energy from the elements in eV/atom: -0.153
data_VAs2Pd2
_symmetry_space_group_name_H-M 'P 4/m b m'
_symmetry_Int_Tables_number 127
_symmetry_space_group_name_Hall '-P 4 2ab'
_cell_length_a 6.717
_cell_length_b 6.717
_cell_length_c 3.650
_cell_angle_alpha 90.00
_cell_angle_beta 90.00
_cell_angle_gamma 90.00
loop_
_atom_site_label
_atom_site_type_symbol
_atom_site_fract_x
_atom_site_fract_y
_atom_site_fract_z
_atom_site_occupancy
V1 V 0.000 0.000 0.000 1
As1 As 0.156 0.344 0.000 1
Pd1 Pd 0.152 0.652 0.500 1



Entry 2:
# PBE Tl2AgO2, relaxed
# Energy relative to the elements, uncorrected in eV/atom: -0.373
data_Tl2AgO2
_symmetry_space_group_name_H-M 'P n m a'
_symmetry_Int_Tables_number 62
_cell_length_a 8.072
_cell_length_b 4.610
_cell_length_c 11.386
_cell_angle_alpha 90.00
_cell_angle_beta 90.00
_cell_angle_gamma 90.00
loop_
_symmetry_equiv_pos_as_xyz
'x,y,z'
'-x,-y,-z'
'-x+1/2,-y,z+1/2'
'x+1/2,y,-z+1/2'
'x+1/2,-y+1/2,-z+1/2'
'-x+1/2,y+1/2,z+1/2'
'-x,y+1/2,-z'
'x,-y+1/2,z'
loop_
_atom_site_label
_atom_site_type_symbol
_atom_site_fract_x
_atom_site_fract_y
_atom_site_fract_z
_atom_site_occupancy
Tl1 Tl 0.070 0.250 0.164 1
Tl2 Tl 0.239 0.750 0.370 1
Ag1 Ag 0.143 0.250 0.572 1
O1 O 0.024 0.250 0.737 1
O2 O 0.246 0.750 0.902 1



Q: What is the formula in the second record?
A: Tl2AgO2